The following is a GGA-PBE calculation of a relaxed structure of ZrV3H, from Alexandria via LeMat-Bulk.

a = 4.838 Å, b = 4.838 Å, c = 4.838 Å
α = 90.00°, β = 90.00°, γ = 90.00°
Site moments in Bohr magnetons follow the coordinates.
Sites, in units of the cell vectors:
H 0.500 0.500 0.500  -0.13
Zr 0.000 0.000 0.000  -0.15
V 0.000 0.500 0.000  1.92
V 0.000 0.000 0.500  1.92
V 0.500 0.000 0.000  1.92

- Energy relative to the lowest polymorph listed for this composition: 2114 meV per atom
- SG: Pm-3m
- Theoretical density: 3.6 g/cm3

---

The following is a GGA-PBE calculation of a relaxed structure of MgHg2Cl, from Alexandria via LeMat-Bulk.

a = 7.510 Å, b = 7.510 Å, c = 7.510 Å
α = 154.47°, β = 145.99°, γ = 43.00°
Sites, in units of the cell vectors:
Cl 0.250 0.750 0.500
Hg 0.937 0.937 0.000
Hg 0.563 0.563 0.000
Mg 0.750 0.250 0.500

- Energy relative to the lowest polymorph listed for this composition: 170 meV per atom
- SG: Immm
- Theoretical density: 7.5 g/cm3
- E_form (uncorrected): -168 kJ/mol of formula units